# MgSi2ClF

MgSi2ClF at its PBEsol-relaxed geometry (meta-GGA SCAN, Alexandria via LeMat-Bulk).

Output
**Volume**: 22.4 A^3/atom
**Symmetry**: P4/mmm
**Formation energy from raw total energies**: 747 meV/atom

a b c (Å): 4.6545 4.6545 5.1807
angles (deg): 90.00 90.00 90.00
Positions (direct):
Mg (0.0000, 0.0000, 0.0000)
Si (0.0000, 0.5000, 0.5000)
Si (0.5000, 0.0000, 0.5000)
Cl (0.0000, 0.0000, 0.5000)
F (0.5000, 0.5000, 0.0000)

=====

# MnCl2F

MnCl2F at its PBEsol-relaxed geometry (meta-GGA SCAN, Alexandria via LeMat-Bulk).

Output
**Volume**: 14.7 A^3/atom
**Symmetry**: R-3m
**Formation energy from raw total energies**: -931 meV/atom

a b c (Å): 4.1687 4.1687 4.1687
angles (deg): 66.70 66.70 66.70
Positions (direct):
Mn (0.0000, 0.0000, 0.0000)
Cl (0.2465, 0.2465, 0.2465)
Cl (0.7535, 0.7535, 0.7535)
F (0.5000, 0.5000, 0.5000)

=====

# MnPb2ClF

MnPb2ClF at its PBEsol-relaxed geometry (meta-GGA SCAN, Alexandria via LeMat-Bulk).

Output
**Volume**: 22.3 A^3/atom
**Symmetry**: P4/mmm
**Formation energy from raw total energies**: -796 meV/atom

a b c (Å): 5.4049 5.4049 3.8166
angles (deg): 90.00 90.00 90.00
Positions (direct):
Mn (0.0000, 0.0000, 0.0000)
Pb (0.0000, 0.5000, 0.0000)
Pb (0.5000, 0.0000, 0.0000)
Cl (0.5000, 0.5000, 0.5000)
F (0.0000, 0.0000, 0.5000)

=====

# MoS2ClF

MoS2ClF at its PBEsol-relaxed geometry (meta-GGA SCAN, Alexandria via LeMat-Bulk).

Output
**Volume**: 19.2 A^3/atom
**Symmetry**: P4/mmm
**Formation energy from raw total energies**: -254 meV/atom

a b c (Å): 4.5353 4.5353 4.6757
angles (deg): 90.00 90.00 90.00
Positions (direct):
Mo (0.0000, 0.0000, 0.0000)
S (0.0000, 0.5000, 0.0000)
S (0.5000, 0.0000, 0.0000)
Cl (0.0000, 0.0000, 0.5000)
F (0.5000, 0.5000, 0.5000)

=====

# RuN2ClF

RuN2ClF at its PBEsol-relaxed geometry (meta-GGA SCAN, Alexandria via LeMat-Bulk).

Output
**Volume**: 11.6 A^3/atom
**Symmetry**: P4/mmm
**Formation energy from raw total energies**: 450 meV/atom

a b c (Å): 3.8076 3.8076 4.0011
angles (deg): 90.00 90.00 90.00
Positions (direct):
Ru (0.0000, 0.0000, 0.0000)
N (0.0000, 0.5000, 0.0000)
N (0.5000, 0.0000, 0.0000)
Cl (0.5000, 0.5000, 0.5000)
F (0.0000, 0.0000, 0.5000)

=====

# ScN2ClF

ScN2ClF at its PBEsol-relaxed geometry (meta-GGA SCAN, Alexandria via LeMat-Bulk).

Output
**Volume**: 15.2 A^3/atom
**Symmetry**: P4/mmm
**Formation energy from raw total energies**: -243 meV/atom

a b c (Å): 4.3986 4.3986 3.9372
angles (deg): 90.00 90.00 90.00
Positions (direct):
Sc (0.0000, 0.0000, 0.0000)
N (0.0000, 0.5000, 0.0000)
N (0.5000, 0.0000, 0.0000)
Cl (0.5000, 0.5000, 0.5000)
F (0.0000, 0.0000, 0.5000)